# 1
Entry from the Alexandria database: a relaxed structure of Cs3SmGa2S6 (PBE).

Properties
* V: 453 Å³/f.u.

a = 7.4896 Å, b = 7.4896 Å, c = 9.3329 Å
α = 90.00°, β = 90.00°, γ = 120.00°
Last column: nearest neighbours and their distance in Å.
Sites, in units of the cell vectors:
Cs1 0.6667 0.3333 0.2893  1 Ga 3.71, 6 S 3.75
Cs2 0.0000 0.0000 0.0000  6 S 3.54
Cs3 0.3333 0.6667 0.7107  1 Ga 3.71, 6 S 3.75
S1 0.3289 0.1645 0.6974  1 Ga 2.19
S2 0.8355 0.1645 0.6974  1 Ga 2.19
S3 0.8355 0.6711 0.6974  1 Ga 2.19
S4 0.6711 0.8355 0.3026  1 Ga 2.19
S5 0.1645 0.8355 0.3026  1 Ga 2.19
S6 0.1645 0.3289 0.3026  1 Ga 2.19
Ga1 0.3333 0.6667 0.3131  3 S 2.19
Ga2 0.6667 0.3333 0.6869  3 S 2.19
Sm1 0.0000 0.0000 0.5000  6 S 2.82

---

# 2
Entry from the Alexandria database: a relaxed structure of TlTe2Pd2 (PBE).

Properties
* energy relative to the lowest polymorph listed for this composition: 129 meV/atom
* V: 114 Å³/f.u.

a = 8.3955 Å, b = 8.3955 Å, c = 3.2348 Å
α = 90.00°, β = 90.00°, γ = 90.00°
Last column: nearest neighbours and their distance in Å.
Sites, in units of the cell vectors:
Pd1 0.1291 0.3709 0.0000  6 Te 2.91-3.00, 3 Pd 3.07-3.23
Pd2 0.8709 0.6291 0.0000  6 Te 2.91-3.00, 3 Pd 3.07-3.23
Pd3 0.6291 0.1291 0.0000  6 Te 2.91-3.00, 3 Pd 3.07-3.23
Pd4 0.3709 0.8709 0.0000  6 Te 2.91-3.00, 3 Pd 3.07-3.23
Te1 0.1582 0.6582 0.5000  6 Pd 2.91-3.00, 2 Te 3.23
Te2 0.3418 0.1582 0.5000  6 Pd 2.91-3.00, 2 Te 3.23
Te3 0.8418 0.3418 0.5000  6 Pd 2.91-3.00, 2 Te 3.23
Te4 0.6582 0.8418 0.5000  6 Pd 2.91-3.00, 2 Te 3.23
Tl1 0.5000 0.5000 0.0000  2 Tl 3.23, 4 Pd 3.30, 8 Te 3.55
Tl2 0.0000 0.0000 0.0000  2 Tl 3.23, 4 Pd 3.30, 8 Te 3.55

---

# 3
Entry from the Alexandria database: a relaxed structure of InCo2Cl (PBE).

Properties
* energy relative to the lowest polymorph listed for this composition: 33 meV/atom
* V: 69 Å³/f.u.

a = 3.0011 Å, b = 3.0026 Å, c = 7.6505 Å
α = 90.00°, β = 90.00°, γ = 90.00°
Last column: nearest neighbours and their distance in Å.
Sites, in units of the cell vectors:
In1 0.0000 0.0000 0.4309  5 Co 2.75-3.06, 4 In 3.00
Co1 0.5000 0.5000 0.2032  4 Co 2.50, 4 In 2.75
Co2 0.0000 0.0000 0.0306  4 Co 2.50, 4 Cl 2.60
Cl1 0.5000 0.5000 0.8353  5 Co 2.60-2.81

---

| no. | ΔE_f (raw) (meV/atom) |
| --- | --- |
| 1 | -1173 |
| 2 | -148 |
| 3 | 183 |